# PBE AlTl2TeO6, relaxed
data_AlTl2TeO6
_cell_length_a 5.199
_cell_length_b 5.199
_cell_length_c 5.376
_cell_angle_alpha 90.00
_cell_angle_beta 90.00
_cell_angle_gamma 90.00
_space_group_name_H-M_alt 'P 4 m m'
_space_group_IT_number 99
loop_
_space_group_symop_operation_xyz
'x,y,z'
'-y,x,z'
'-x,-y,z'
'y,-x,z'
'-x,y,z'
'y,x,z'
'x,-y,z'
'-y,-x,z'
loop_
_atom_site_label
_atom_site_fract_x
_atom_site_fract_y
_atom_site_fract_z
Al1 0.000 0.000 0.000
Tl1 0.000 0.500 0.509
Te1 0.500 0.500 0.018
O1 0.000 0.000 0.667
O2 0.249 0.249 0.114
O3 0.500 0.500 0.670
# ΔE_f (raw): -112 kJ per mole of atoms
# Total moment: 0.000 μB per cell